(1)
Material: ZrBeSb2Pd
Method: DFT, PBE-GGA
State: optimized geometry

For the energy, the calculation gives -25.426 eV/cell. The size of the total moment comes out at 0.00 μB per formula unit. Its crystal system is tetragonal. The value obtained for the density of states at the Fermi level is 2.2 states/eV/cell. For the raw formation energy, the calculation gives 0.06 eV per atom.

Lattice parameters (Å, degrees): 4.957 4.957 4.135 90.00 90.00 90.00
Fractional coordinates of all 5 atoms:
Zr 0.000 0.000 0.000
Be 0.500 0.500 0.500
Sb 0.000 0.500 0.500
Sb 0.500 0.000 0.500
Pd 0.500 0.500 0.000



(2)
Material: Sc2BePd
Method: DFT, PBE-GGA
State: optimized geometry

The formation energy comes out at 0.112 eV/atom. For the energy, the calculation gives -21.132 eV/cell. The size of the total moment comes out at 0.00 μB per formula unit. Its crystal system is trigonal. The value obtained for the density of states at the Fermi level is 3.2 states/eV/cell.

Lattice parameters (Å, degrees): 9.120 9.120 9.120 19.54 19.54 19.54
Fractional coordinates of all 4 atoms:
Sc 0.094 0.094 0.094
Sc 0.906 0.906 0.906
Be 0.500 0.500 0.500
Pd 0.000 0.000 0.000



(3)
Material: Sc2BePd6
Method: DFT, PBE-GGA
State: optimized geometry

The formation energy comes out at -0.532 eV/atom. For the energy, the calculation gives -52.337 eV/cell. The size of the total moment comes out at 0.00 μB per formula unit. Its crystal system is monoclinic. The value obtained for the density of states at the Fermi level is 4.0 states/eV/cell.

Lattice parameters (Å, degrees): 7.515 7.515 3.443 103.08 103.08 54.99
Fractional coordinates of all 9 atoms:
Sc 0.146 0.146 0.143
Sc 0.854 0.854 0.857
Be 0.500 0.500 0.500
Pd 0.131 0.535 0.334
Pd 0.287 0.713 0.000
Pd 0.465 0.869 0.666
Pd 0.535 0.131 0.334
Pd 0.713 0.287 0.000
Pd 0.869 0.465 0.666



(4)
Material: Sc2BePd2
Method: DFT, PBE-GGA
State: optimized geometry

The formation energy comes out at -0.528 eV/atom. For the energy, the calculation gives -58.833 eV/cell. The size of the total moment comes out at 0.00 μB per formula unit. Its crystal system is tetragonal. The value obtained for the density of states at the Fermi level is 6.3 states/eV/cell. For the energy above the most stable polymorph in this dataset, the calculation gives 0.000 eV per atom.

Lattice parameters (Å, degrees): 6.650 6.650 3.954 90.00 90.00 90.00
Fractional coordinates of all 10 atoms:
Sc 0.169 0.331 0.000
Sc 0.331 0.831 0.000
Sc 0.669 0.169 0.000
Sc 0.831 0.669 0.000
Be 0.000 0.000 0.500
Be 0.500 0.500 0.500
Pd 0.146 0.646 0.500
Pd 0.354 0.146 0.500
Pd 0.646 0.854 0.500
Pd 0.854 0.354 0.500



(5)
Material: ScBe17Pd
Method: DFT, PBE-GGA
State: optimized geometry

The formation energy comes out at -0.149 eV/atom. For the energy, the calculation gives -77.709 eV/cell. The size of the total moment comes out at 0.00 μB per formula unit. Its crystal system is trigonal. The value obtained for the density of states at the Fermi level is 4.1 states/eV/cell.

Lattice parameters (Å, degrees): 5.597 5.597 5.597 82.99 82.99 82.99
Fractional coordinates of all 19 atoms:
Sc 0.000 0.000 0.000
Be 0.007 0.007 0.493
Be 0.007 0.493 0.007
Be 0.149 0.670 0.670
Be 0.315 0.315 0.797
Be 0.315 0.797 0.315
Be 0.366 0.654 0.956
Be 0.366 0.956 0.654
Be 0.493 0.007 0.007
Be 0.559 0.559 0.559
Be 0.654 0.366 0.956
Be 0.654 0.956 0.366
Be 0.670 0.149 0.670
Be 0.670 0.670 0.149
Be 0.756 0.756 0.756
Be 0.797 0.315 0.315
Be 0.956 0.366 0.654
Be 0.956 0.654 0.366
Pd 0.326 0.326 0.326



(6)
Material: ScBePd2
Method: DFT, PBE-GGA
State: optimized geometry

The formation energy comes out at -0.654 eV/atom. For the energy, the calculation gives -23.058 eV/cell. The size of the total moment comes out at 0.00 μB per formula unit. Its crystal system is tetragonal. The value obtained for the density of states at the Fermi level is 1.0 states/eV/cell.

Lattice parameters (Å, degrees): 3.076 3.076 6.239 90.00 90.00 90.00
Fractional coordinates of all 4 atoms:
Sc 0.000 0.000 0.000
Be 0.000 0.000 0.500
Pd 0.500 0.500 0.284
Pd 0.500 0.500 0.716



(7)
Material: ScBe2Pd3
Method: DFT, PBE-GGA
State: optimized geometry

The formation energy comes out at -0.621 eV/atom. For the energy, the calculation gives -33.087 eV/cell. The size of the total moment comes out at 0.00 μB per formula unit. Its crystal system is tetragonal. The value obtained for the density of states at the Fermi level is 3.5 states/eV/cell.

Lattice parameters (Å, degrees): 2.860 2.860 9.829 90.00 90.00 90.00
Fractional coordinates of all 6 atoms:
Sc 0.000 0.000 0.000
Be 0.000 0.000 0.354
Be 0.000 0.000 0.646
Pd 0.500 0.500 0.211
Pd 0.500 0.500 0.500
Pd 0.500 0.500 0.789



(8)
Material: Sc6BePd5
Method: DFT, PBE-GGA
State: optimized geometry

The formation energy comes out at -0.746 eV/atom. For the energy, the calculation gives -76.627 eV/cell. The size of the total moment comes out at 0.00 μB per formula unit. Its crystal system is monoclinic. The value obtained for the density of states at the Fermi level is 6.7 states/eV/cell.

Lattice parameters (Å, degrees): 4.668 6.564 7.382 90.00 108.21 90.00
Fractional coordinates of all 12 atoms:
Sc 0.000 0.247 0.000
Sc 0.000 0.753 0.000
Sc 0.336 0.248 0.671
Sc 0.336 0.752 0.671
Sc 0.664 0.248 0.329
Sc 0.664 0.752 0.329
Be 0.500 0.000 0.000
Pd 0.163 0.000 0.326
Pd 0.169 0.500 0.340
Pd 0.500 0.500 0.000
Pd 0.831 0.500 0.660
Pd 0.837 0.000 0.674